1.
Here is an optimized crystal structure of Zr2AsIr from the Alexandria database. Energies are from PBE.

abc: 3.4836 4.2545 5.0862
angles: 90.00 90.00 90.00
Last column: nearest neighbours and their distance in Å.
Fractional coordinates of all 4 atoms:
Zr  0.0000  0.0000  0.0000  4 Ir 2.75
Zr  0.0000  0.5000  0.5000  4 As 2.75
As  0.5000  0.0000  0.5000  4 Zr 2.75
Ir  0.5000  0.5000  0.0000  4 Zr 2.75

Output
size of the total moment = 0.0 μB/cell
Fermi-level density of states = 4.349 states/eV per cell
energy relative to the elements = -262 kJ/mol of formula units
space group = Pmmm, No. 47

2.
Here is an optimized crystal structure of Zr4AsIr from the Alexandria database. Energies are from PBE.

abc: 5.5610 5.5610 5.5610
angles: 60.00 60.00 60.00
Last column: nearest neighbours and their distance in Å.
Fractional coordinates of all 6 atoms:
Zr  0.1254  0.1254  0.1254  6 Zr 2.77-2.79
Zr  0.1254  0.1254  0.6238  6 Zr 2.77-2.79
Zr  0.1254  0.6238  0.1254  6 Zr 2.77-2.79
Zr  0.6238  0.1254  0.1254  6 Zr 2.77-2.79
As  0.7500  0.7500  0.7500  12 Zr 3.26, 4 Ir 3.41
Ir  0.5000  0.5000  0.5000  12 Zr 3.26, 4 As 3.41

Output
size of the total moment = 0.0 μB/cell
Fermi-level density of states = 6.443 states/eV per cell
energy relative to the elements = 164 kJ/mol of formula units
space group = F-43m, No. 216